(1)
The following is a GGA-PBE calculation of a relaxed LuMgCuSi crystal, from Alexandria via LeMat-Bulk.

Values from the calculation:
* DOS at the Fermi energy: 0.360 states/eV/atom
* crystal system: cubic
* total moment: 0.0000 μB per atom
* final energy: -4.2044 eV per atom
* mass density: 6.7 g/cm3
* symmetry: F-43m

a b c (Å): 6.6058 6.6058 6.6058
angles (deg): 90.00 90.00 90.00
Positions (direct):
Lu (0.0000, 0.0000, 0.0000)
Lu (0.0000, 0.5000, 0.5000)
Lu (0.5000, 0.0000, 0.5000)
Lu (0.5000, 0.5000, 0.0000)
Mg (0.0000, 0.0000, 0.5000)
Mg (0.0000, 0.5000, 0.0000)
Mg (0.5000, 0.0000, 0.0000)
Mg (0.5000, 0.5000, 0.5000)
Cu (0.2500, 0.2500, 0.7500)
Cu (0.2500, 0.7500, 0.2500)
Cu (0.7500, 0.2500, 0.2500)
Cu (0.7500, 0.7500, 0.7500)
Si (0.2500, 0.2500, 0.2500)
Si (0.2500, 0.7500, 0.7500)
Si (0.7500, 0.2500, 0.7500)
Si (0.7500, 0.7500, 0.2500)

(2)
The following is a GGA-PBE calculation of a relaxed LuMgCuSn crystal, from Alexandria via LeMat-Bulk.

Values from the calculation:
* ΔE_f: -279.7 meV/atom
* DOS at the Fermi energy: 0.347 states/eV/atom
* crystal system: cubic
* total moment: 0.0001 μB per atom
* final energy: -3.8333 eV per atom
* mass density: 7.5 g/cm3
* symmetry: F-43m

a b c (Å): 6.9557 6.9557 6.9557
angles (deg): 90.00 90.00 90.00
Positions (direct):
Lu (0.0000, 0.0000, 0.0000)
Lu (0.0000, 0.5000, 0.5000)
Lu (0.5000, 0.0000, 0.5000)
Lu (0.5000, 0.5000, 0.0000)
Mg (0.0000, 0.0000, 0.5000)
Mg (0.0000, 0.5000, 0.0000)
Mg (0.5000, 0.0000, 0.0000)
Mg (0.5000, 0.5000, 0.5000)
Cu (0.2500, 0.2500, 0.2500)
Cu (0.2500, 0.7500, 0.7500)
Cu (0.7500, 0.2500, 0.7500)
Cu (0.7500, 0.7500, 0.2500)
Sn (0.2500, 0.2500, 0.7500)
Sn (0.2500, 0.7500, 0.2500)
Sn (0.7500, 0.2500, 0.2500)
Sn (0.7500, 0.7500, 0.7500)

(3)
The following is a GGA-PBE calculation of a relaxed TbLuMgCu crystal, from Alexandria via LeMat-Bulk.

Values from the calculation:
* ΔE_f: -65.3 meV/atom
* DOS at the Fermi energy: 0.923 states/eV/atom
* crystal system: cubic
* total moment: 0.0015 μB per atom
* final energy: -3.7758 eV per atom
* mass density: 7.5 g/cm3
* symmetry: F-43m

a b c (Å): 7.1915 7.1915 7.1915
angles (deg): 90.00 90.00 90.00
Positions (direct):
Tb (0.0000, 0.0000, 0.0000)
Tb (0.0000, 0.5000, 0.5000)
Tb (0.5000, 0.0000, 0.5000)
Tb (0.5000, 0.5000, 0.0000)
Lu (0.0000, 0.0000, 0.5000)
Lu (0.0000, 0.5000, 0.0000)
Lu (0.5000, 0.0000, 0.0000)
Lu (0.5000, 0.5000, 0.5000)
Mg (0.2500, 0.2500, 0.7500)
Mg (0.2500, 0.7500, 0.2500)
Mg (0.7500, 0.2500, 0.2500)
Mg (0.7500, 0.7500, 0.7500)
Cu (0.2500, 0.2500, 0.2500)
Cu (0.2500, 0.7500, 0.7500)
Cu (0.7500, 0.2500, 0.7500)
Cu (0.7500, 0.7500, 0.2500)

(4)
The following is a GGA-PBE calculation of a relaxed TmLuMgCu crystal, from Alexandria via LeMat-Bulk.

Values from the calculation:
* ΔE_f: -68.6 meV/atom
* DOS at the Fermi energy: 1.061 states/eV/atom
* crystal system: cubic
* total moment: 0.0000 μB per atom
* final energy: -3.7395 eV per atom
* mass density: 7.9 g/cm3
* symmetry: F-43m

a b c (Å): 7.1340 7.1340 7.1340
angles (deg): 90.00 90.00 90.00
Positions (direct):
Tm (0.0000, 0.0000, 0.0000)
Tm (0.0000, 0.5000, 0.5000)
Tm (0.5000, 0.0000, 0.5000)
Tm (0.5000, 0.5000, 0.0000)
Lu (0.0000, 0.0000, 0.5000)
Lu (0.0000, 0.5000, 0.0000)
Lu (0.5000, 0.0000, 0.0000)
Lu (0.5000, 0.5000, 0.5000)
Mg (0.2500, 0.2500, 0.2500)
Mg (0.2500, 0.7500, 0.7500)
Mg (0.7500, 0.2500, 0.7500)
Mg (0.7500, 0.7500, 0.2500)
Cu (0.2500, 0.2500, 0.7500)
Cu (0.2500, 0.7500, 0.2500)
Cu (0.7500, 0.2500, 0.2500)
Cu (0.7500, 0.7500, 0.7500)

(5)
The following is a GGA-PBE calculation of a relaxed LuMgZnCu crystal, from Alexandria via LeMat-Bulk.

Values from the calculation:
* ΔE_f: -264.0 meV/atom
* DOS at the Fermi energy: 0.423 states/eV/atom
* crystal system: cubic
* total moment: 0.0000 μB per atom
* final energy: -3.1354 eV per atom
* mass density: 7.4 g/cm3
* symmetry: F-43m

a b c (Å): 6.6414 6.6414 6.6414
angles (deg): 90.00 90.00 90.00
Positions (direct):
Lu (0.0000, 0.0000, 0.0000)
Lu (0.0000, 0.5000, 0.5000)
Lu (0.5000, 0.0000, 0.5000)
Lu (0.5000, 0.5000, 0.0000)
Mg (0.0000, 0.0000, 0.5000)
Mg (0.0000, 0.5000, 0.0000)
Mg (0.5000, 0.0000, 0.0000)
Mg (0.5000, 0.5000, 0.5000)
Zn (0.2500, 0.2500, 0.2500)
Zn (0.2500, 0.7500, 0.7500)
Zn (0.7500, 0.2500, 0.7500)
Zn (0.7500, 0.7500, 0.2500)
Cu (0.2500, 0.2500, 0.7500)
Cu (0.2500, 0.7500, 0.2500)
Cu (0.7500, 0.2500, 0.2500)
Cu (0.7500, 0.7500, 0.7500)

(6)
The following is a GGA-PBE calculation of a relaxed LuMgZrCu crystal, from Alexandria via LeMat-Bulk.

Values from the calculation:
* ΔE_f: 41.9 meV/atom
* DOS at the Fermi energy: 0.892 states/eV/atom
* crystal system: cubic
* total moment: 0.2227 μB per atom
* final energy: -4.6481 eV per atom
* mass density: 7.0 g/cm3
* symmetry: F-43m

a b c (Å): 6.9384 6.9384 6.9384
angles (deg): 90.00 90.00 90.00
Positions (direct):
Lu (0.0000, 0.0000, 0.0000)
Lu (0.0000, 0.5000, 0.5000)
Lu (0.5000, 0.0000, 0.5000)
Lu (0.5000, 0.5000, 0.0000)
Mg (0.2500, 0.2500, 0.7500)
Mg (0.2500, 0.7500, 0.2500)
Mg (0.7500, 0.2500, 0.2500)
Mg (0.7500, 0.7500, 0.7500)
Zr (0.0000, 0.0000, 0.5000)
Zr (0.0000, 0.5000, 0.0000)
Zr (0.5000, 0.0000, 0.0000)
Zr (0.5000, 0.5000, 0.5000)
Cu (0.2500, 0.2500, 0.2500)
Cu (0.2500, 0.7500, 0.7500)
Cu (0.7500, 0.2500, 0.7500)
Cu (0.7500, 0.7500, 0.2500)

(7)
The following is a GGA-PBE calculation of a relaxed Lu2MnCu crystal, from Alexandria via LeMat-Bulk.

Values from the calculation:
* ΔE_f: -12.9 meV/atom
* DOS at the Fermi energy: 1.144 states/eV/atom
* crystal system: cubic
* polymorph energy (0 for the lowest one): 0.279 eV per formula unit
* total moment: 0.8415 μB per atom
* final energy: -5.5899 eV per atom
* mass density: 9.7 g/cm3
* symmetry: Fm-3m

a b c (Å): 6.8553 6.8553 6.8553
angles (deg): 90.00 90.00 90.00
Positions (direct):
Lu (0.2500, 0.2500, 0.2500)
Lu (0.2500, 0.2500, 0.7500)
Lu (0.2500, 0.7500, 0.2500)
Lu (0.2500, 0.7500, 0.7500)
Lu (0.7500, 0.2500, 0.2500)
Lu (0.7500, 0.2500, 0.7500)
Lu (0.7500, 0.7500, 0.2500)
Lu (0.7500, 0.7500, 0.7500)
Mn (0.0000, 0.0000, 0.0000)
Mn (0.0000, 0.5000, 0.5000)
Mn (0.5000, 0.0000, 0.5000)
Mn (0.5000, 0.5000, 0.0000)
Cu (0.0000, 0.0000, 0.5000)
Cu (0.0000, 0.5000, 0.0000)
Cu (0.5000, 0.0000, 0.0000)
Cu (0.5000, 0.5000, 0.5000)

(8)
The following is a GGA-PBE calculation of a relaxed Lu2MnCu crystal, from Alexandria via LeMat-Bulk.

Values from the calculation:
* ΔE_f: -82.7 meV/atom
* DOS at the Fermi energy: 0.666 states/eV/atom
* crystal system: tetragonal
* polymorph energy (0 for the lowest one): 0.000 eV per formula unit
* total moment: 0.7360 μB per atom
* final energy: -5.6596 eV per atom
* mass density: 9.8 g/cm3
* symmetry: P4/mmm

a b c (Å): 3.3577 3.3577 7.0112
angles (deg): 90.00 90.00 90.00
Positions (direct):
Lu (0.0000, 0.0000, 0.2480)
Lu (0.0000, 0.0000, 0.7520)
Mn (0.5000, 0.5000, 0.5000)
Cu (0.5000, 0.5000, 0.0000)

(9)
The following is a GGA-PBE calculation of a relaxed Lu2MnCu crystal, from Alexandria via LeMat-Bulk.

Values from the calculation:
* ΔE_f: 216.4 meV/atom
* DOS at the Fermi energy: 1.042 states/eV/atom
* crystal system: trigonal
* polymorph energy (0 for the lowest one): 1.196 eV per formula unit
* total moment: 0.8179 μB per atom
* final energy: -5.3605 eV per atom
* mass density: 9.1 g/cm3
* symmetry: R-3m

a b c (Å): 3.3620 3.3620 26.0589
angles (deg): 90.00 90.00 120.00
Positions (direct):
Lu (0.0000, 0.0000, 0.2473)
Lu (0.0000, 0.0000, 0.7527)
Lu (0.3333, 0.6667, 0.4194)
Lu (0.3333, 0.6667, 0.9139)
Lu (0.6667, 0.3333, 0.0861)
Lu (0.6667, 0.3333, 0.5806)
Mn (0.0000, 0.0000, 0.0000)
Mn (0.3333, 0.6667, 0.6667)
Mn (0.6667, 0.3333, 0.3333)
Cu (0.0000, 0.0000, 0.5000)
Cu (0.3333, 0.6667, 0.1667)
Cu (0.6667, 0.3333, 0.8333)

(10)
The following is a GGA-PBE calculation of a relaxed LuMnCuNi crystal, from Alexandria via LeMat-Bulk.

Values from the calculation:
* ΔE_f: -128.7 meV/atom
* DOS at the Fermi energy: 0.556 states/eV/atom
* crystal system: cubic
* total moment: 1.0180 μB per atom
* final energy: -6.0207 eV per atom
* mass density: 9.3 g/cm3
* symmetry: F-43m

a b c (Å): 6.3107 6.3107 6.3107
angles (deg): 90.00 90.00 90.00
Positions (direct):
Lu (0.0000, 0.0000, 0.0000)
Lu (0.0000, 0.5000, 0.5000)
Lu (0.5000, 0.0000, 0.5000)
Lu (0.5000, 0.5000, 0.0000)
Mn (0.0000, 0.0000, 0.5000)
Mn (0.0000, 0.5000, 0.0000)
Mn (0.5000, 0.0000, 0.0000)
Mn (0.5000, 0.5000, 0.5000)
Cu (0.2500, 0.2500, 0.7500)
Cu (0.2500, 0.7500, 0.2500)
Cu (0.7500, 0.2500, 0.2500)
Cu (0.7500, 0.7500, 0.7500)
Ni (0.2500, 0.2500, 0.2500)
Ni (0.2500, 0.7500, 0.7500)
Ni (0.7500, 0.2500, 0.7500)
Ni (0.7500, 0.7500, 0.2500)

(11)
The following is a GGA-PBE calculation of a relaxed LuPuMnCu crystal, from Alexandria via LeMat-Bulk.

Values from the calculation:
* ΔE_f: 49.2 meV/atom
* DOS at the Fermi energy: 1.725 states/eV/atom
* crystal system: cubic
* total moment: 0.6722 μB per atom
* final energy: -7.9805 eV per atom
* mass density: 11.2 g/cm3
* symmetry: F-43m

a b c (Å): 6.8220 6.8220 6.8220
angles (deg): 90.00 90.00 90.00
Positions (direct):
Lu (0.0000, 0.0000, 0.0000)
Lu (0.0000, 0.5000, 0.5000)
Lu (0.5000, 0.0000, 0.5000)
Lu (0.5000, 0.5000, 0.0000)
Pu (0.0000, 0.0000, 0.5000)
Pu (0.0000, 0.5000, 0.0000)
Pu (0.5000, 0.0000, 0.0000)
Pu (0.5000, 0.5000, 0.5000)
Mn (0.2500, 0.2500, 0.7500)
Mn (0.2500, 0.7500, 0.2500)
Mn (0.7500, 0.2500, 0.2500)
Mn (0.7500, 0.7500, 0.7500)
Cu (0.2500, 0.2500, 0.2500)
Cu (0.2500, 0.7500, 0.7500)
Cu (0.7500, 0.2500, 0.7500)
Cu (0.7500, 0.7500, 0.2500)

(12)
The following is a GGA-PBE calculation of a relaxed LuMnCuRh crystal, from Alexandria via LeMat-Bulk.

Values from the calculation:
* ΔE_f: -298.5 meV/atom
* DOS at the Fermi energy: 0.777 states/eV/atom
* crystal system: cubic
* total moment: 1.0582 μB per atom
* final energy: -6.5830 eV per atom
* mass density: 9.9 g/cm3
* symmetry: F-43m

a b c (Å): 6.4249 6.4249 6.4249
angles (deg): 90.00 90.00 90.00
Positions (direct):
Lu (0.0000, 0.0000, 0.0000)
Lu (0.0000, 0.5000, 0.5000)
Lu (0.5000, 0.0000, 0.5000)
Lu (0.5000, 0.5000, 0.0000)
Mn (0.0000, 0.0000, 0.5000)
Mn (0.0000, 0.5000, 0.0000)
Mn (0.5000, 0.0000, 0.0000)
Mn (0.5000, 0.5000, 0.5000)
Cu (0.2500, 0.2500, 0.7500)
Cu (0.2500, 0.7500, 0.2500)
Cu (0.7500, 0.2500, 0.2500)
Cu (0.7500, 0.7500, 0.7500)
Rh (0.2500, 0.2500, 0.2500)
Rh (0.2500, 0.7500, 0.7500)
Rh (0.7500, 0.2500, 0.7500)
Rh (0.7500, 0.7500, 0.2500)

(13)
The following is a GGA-PBE calculation of a relaxed SmLuMnCu crystal, from Alexandria via LeMat-Bulk.

Values from the calculation:
* ΔE_f: 41.3 meV/atom
* DOS at the Fermi energy: 1.098 states/eV/atom
* crystal system: cubic
* total moment: 0.7848 μB per atom
* final energy: -5.5852 eV per atom
* mass density: 8.6 g/cm3
* symmetry: F-43m

a b c (Å): 7.0071 7.0071 7.0071
angles (deg): 90.00 90.00 90.00
Positions (direct):
Sm (0.0000, 0.0000, 0.0000)
Sm (0.0000, 0.5000, 0.5000)
Sm (0.5000, 0.0000, 0.5000)
Sm (0.5000, 0.5000, 0.0000)
Lu (0.0000, 0.0000, 0.5000)
Lu (0.0000, 0.5000, 0.0000)
Lu (0.5000, 0.0000, 0.0000)
Lu (0.5000, 0.5000, 0.5000)
Mn (0.2500, 0.2500, 0.2500)
Mn (0.2500, 0.7500, 0.7500)
Mn (0.7500, 0.2500, 0.7500)
Mn (0.7500, 0.7500, 0.2500)
Cu (0.2500, 0.2500, 0.7500)
Cu (0.2500, 0.7500, 0.2500)
Cu (0.7500, 0.2500, 0.2500)
Cu (0.7500, 0.7500, 0.7500)

(14)
The following is a GGA-PBE calculation of a relaxed TbLuMnCu crystal, from Alexandria via LeMat-Bulk.

Values from the calculation:
* ΔE_f: 14.7 meV/atom
* DOS at the Fermi energy: 1.176 states/eV/atom
* crystal system: cubic
* total moment: 0.8118 μB per atom
* final energy: -5.5895 eV per atom
* mass density: 9.0 g/cm3
* symmetry: F-43m

a b c (Å): 6.9463 6.9463 6.9463
angles (deg): 90.00 90.00 90.00
Positions (direct):
Tb (0.0000, 0.0000, 0.0000)
Tb (0.0000, 0.5000, 0.5000)
Tb (0.5000, 0.0000, 0.5000)
Tb (0.5000, 0.5000, 0.0000)
Lu (0.0000, 0.0000, 0.5000)
Lu (0.0000, 0.5000, 0.0000)
Lu (0.5000, 0.0000, 0.0000)
Lu (0.5000, 0.5000, 0.5000)
Mn (0.2500, 0.2500, 0.2500)
Mn (0.2500, 0.7500, 0.7500)
Mn (0.7500, 0.2500, 0.7500)
Mn (0.7500, 0.7500, 0.2500)
Cu (0.2500, 0.2500, 0.7500)
Cu (0.2500, 0.7500, 0.2500)
Cu (0.7500, 0.2500, 0.2500)
Cu (0.7500, 0.7500, 0.7500)

(15)
The following is a GGA-PBE calculation of a relaxed LuMnZnCu crystal, from Alexandria via LeMat-Bulk.

Values from the calculation:
* ΔE_f: -61.4 meV/atom
* DOS at the Fermi energy: 0.916 states/eV/atom
* crystal system: cubic
* total moment: 0.9827 μB per atom
* final energy: -4.8266 eV per atom
* mass density: 8.7 g/cm3
* symmetry: F-43m

a b c (Å): 6.4854 6.4854 6.4854
angles (deg): 90.00 90.00 90.00
Positions (direct):
Lu (0.0000, 0.0000, 0.0000)
Lu (0.0000, 0.5000, 0.5000)
Lu (0.5000, 0.0000, 0.5000)
Lu (0.5000, 0.5000, 0.0000)
Mn (0.0000, 0.0000, 0.5000)
Mn (0.0000, 0.5000, 0.0000)
Mn (0.5000, 0.0000, 0.0000)
Mn (0.5000, 0.5000, 0.5000)
Zn (0.2500, 0.2500, 0.2500)
Zn (0.2500, 0.7500, 0.7500)
Zn (0.7500, 0.2500, 0.7500)
Zn (0.7500, 0.7500, 0.2500)
Cu (0.2500, 0.2500, 0.7500)
Cu (0.2500, 0.7500, 0.2500)
Cu (0.7500, 0.2500, 0.2500)
Cu (0.7500, 0.7500, 0.7500)